Model 1:
{"formula": "Tl2Ga2Hg", "functional": "PBE-GGA", "state": "optimized geometry", "lattice": [[7.090, 0.000, 0.000], [0.000, 7.090, 0.000], [0.000, 0.000, 5.127]], "species": ["Tl", "Tl", "Tl", "Tl", "Ga", "Ga", "Ga", "Ga", "Hg", "Hg"], "frac_coords": [[0.176, 0.324, 0.000], [0.324, 0.824, 0.000], [0.676, 0.176, 0.000], [0.824, 0.676, 0.000], [0.131, 0.631, 0.500], [0.369, 0.131, 0.500], [0.631, 0.869, 0.500], [0.869, 0.369, 0.500], [0.000, 0.000, 0.500], [0.500, 0.500, 0.500]], "m_tot_mub_per_atom": 0.000}


Model 2:
{"formula": "Tl2Ga2Hg", "functional": "PBE-GGA", "state": "optimized geometry", "lattice": [[6.068, -1.582, 0.000], [6.068, 1.582, 0.000], [-0.981, 0.000, 7.048]], "species": ["Tl", "Tl", "Ga", "Ga", "Hg"], "frac_coords": [[0.200, 0.200, 0.241], [0.800, 0.800, 0.759], [0.431, 0.431, 0.123], [0.569, 0.569, 0.877], [0.500, 0.500, 0.500]], "m_tot_mub_per_atom": 0.000}


Model 3:
{"formula": "Tl2Ga2Hg", "functional": "PBE-GGA", "state": "optimized geometry", "lattice": [[-2.419, 2.419, 5.942], [2.419, -2.419, 5.942], [2.419, 2.419, -5.942]], "species": ["Tl", "Tl", "Ga", "Ga", "Hg"], "frac_coords": [[0.250, 0.750, 0.500], [0.750, 0.250, 0.500], [0.106, 0.106, 0.000], [0.894, 0.894, 0.000], [0.500, 0.500, 0.000]], "m_tot_mub_per_atom": 0.000}


Stability summary: most stable model 1, least stable model 3.


Model 1:
{"formula": "Tl2Ga2Hg", "functional": "PBE-GGA", "state": "optimized geometry", "lattice": [[8.744, 0.000, 0.000], [0.000, 8.744, 0.000], [0.000, 0.000, 3.523]], "species": ["Tl", "Tl", "Tl", "Tl", "Ga", "Ga", "Ga", "Ga", "Hg", "Hg"], "frac_coords": [[0.186, 0.314, 0.000], [0.314, 0.814, 0.000], [0.686, 0.186, 0.000], [0.814, 0.686, 0.000], [0.112, 0.612, 0.500], [0.388, 0.112, 0.500], [0.612, 0.888, 0.500], [0.888, 0.388, 0.500], [0.000, 0.000, 0.000], [0.500, 0.500, 0.000]], "m_tot_mub_per_atom": 0.000}


Model 2:
{"formula": "Tl2Ga2Hg", "functional": "PBE-GGA", "state": "optimized geometry", "lattice": [[-1.899, 1.899, 9.193], [1.899, -1.899, 9.193], [1.899, 1.899, -9.193]], "species": ["Tl", "Tl", "Ga", "Ga", "Hg"], "frac_coords": [[0.106, 0.106, 0.000], [0.894, 0.894, 0.000], [0.250, 0.750, 0.500], [0.750, 0.250, 0.500], [0.500, 0.500, 0.000]], "m_tot_mub_per_atom": 0.000}


Stability summary: most stable model 2, least stable model 1.


Model 1:
{"formula": "Tl2GaHg4", "functional": "PBE-GGA", "state": "optimized geometry", "lattice": [[0.000, 4.915, 4.430], [4.566, 0.000, 4.430], [4.566, 4.915, 0.000]], "species": ["Tl", "Tl", "Ga", "Hg", "Hg", "Hg", "Hg"], "frac_coords": [[0.000, 0.000, 0.500], [0.500, 0.500, 0.000], [0.497, 0.497, 0.503], [0.045, 0.402, 0.955], [0.402, 0.045, 0.598], [0.589, 0.944, 0.056], [0.944, 0.589, 0.411]], "m_tot_mub_per_atom": 0.000}


Model 2:
{"formula": "Tl2GaHg4", "functional": "PBE-GGA", "state": "optimized geometry", "lattice": [[-2.630, 2.630, 8.120], [2.630, -2.630, 8.120], [2.630, 2.630, -8.120]], "species": ["Tl", "Tl", "Ga", "Hg", "Hg", "Hg", "Hg"], "frac_coords": [[0.132, 0.132, 0.000], [0.868, 0.868, 0.000], [0.500, 0.500, 0.000], [0.000, 0.500, 0.500], [0.323, 0.323, 0.000], [0.500, 0.000, 0.500], [0.677, 0.677, 0.000]], "m_tot_mub_per_atom": 0.000}


Stability summary: most stable model 1, least stable model 2.


Model 1:
{"formula": "Tl2GaHg5", "functional": "PBE-GGA", "state": "optimized geometry", "lattice": [[6.944, 0.000, 0.000], [0.000, 6.944, 0.000], [0.000, 0.000, 5.132]], "species": ["Tl", "Tl", "Ga", "Hg", "Hg", "Hg", "Hg", "Hg"], "frac_coords": [[0.000, 0.500, 0.000], [0.500, 0.000, 0.000], [0.000, 0.000, 0.500], [0.000, 0.000, 0.000], [0.286, 0.286, 0.500], [0.286, 0.714, 0.500], [0.714, 0.286, 0.500], [0.714, 0.714, 0.500]], "m_tot_mub_per_atom": 0.000}


Model 2:
{"formula": "Tl2GaHg5", "functional": "PBE-GGA", "state": "optimized geometry", "lattice": [[4.515, -4.820, 0.000], [4.515, 4.820, 0.000], [-4.003, 0.000, 5.087]], "species": ["Tl", "Tl", "Ga", "Hg", "Hg", "Hg", "Hg", "Hg"], "frac_coords": [[0.000, 0.000, 0.000], [0.002, 0.002, 0.499], [0.502, 0.502, 0.252], [0.016, 0.501, 0.005], [0.501, 0.016, 0.005], [0.501, 0.987, 0.495], [0.502, 0.502, 0.751], [0.987, 0.501, 0.495]], "m_tot_mub_per_atom": 0.000}


Stability summary: most stable model 2, least stable model 1.


Model 1:
{"formula": "Tl4GaHg3", "functional": "PBE-GGA", "state": "optimized geometry", "lattice": [[3.609, 0.000, 0.000], [0.000, 4.783, 0.000], [0.000, 0.000, 13.042]], "species": ["Tl", "Tl", "Tl", "Tl", "Ga", "Hg", "Hg", "Hg"], "frac_coords": [[0.000, 0.000, 0.000], [0.000, 0.500, 0.331], [0.500, 0.000, 0.484], [0.500, 0.500, 0.847], [0.500, 0.000, 0.227], [0.000, 0.000, 0.738], [0.000, 0.500, 0.593], [0.500, 0.500, 0.107]], "m_tot_mub_per_atom": 0.000}


Model 2:
{"formula": "Tl4GaHg3", "functional": "PBE-GGA", "state": "optimized geometry", "lattice": [[3.763, 0.000, 0.000], [0.000, 3.763, 0.000], [0.000, 0.000, 15.867]], "species": ["Tl", "Tl", "Tl", "Tl", "Ga", "Hg", "Hg", "Hg"], "frac_coords": [[0.000, 0.000, 0.115], [0.000, 0.000, 0.368], [0.000, 0.000, 0.632], [0.000, 0.000, 0.885], [0.500, 0.500, 0.000], [0.500, 0.500, 0.244], [0.500, 0.500, 0.500], [0.500, 0.500, 0.756]], "m_tot_mub_per_atom": 0.000}


Stability summary: most stable model 1, least stable model 2.


Model 1:
{"formula": "TmGa2Hg", "functional": "PBE-GGA", "state": "optimized geometry", "lattice": [[2.453, 1.416, 6.141], [-2.453, 1.416, 6.141], [0.000, -2.833, 6.141]], "species": ["Tm", "Ga", "Ga", "Hg"], "frac_coords": [[0.000, 0.000, 0.000], [0.357, 0.357, 0.357], [0.643, 0.643, 0.643], [0.500, 0.500, 0.500]], "m_tot_mub_per_atom": 0.000}


Model 2:
{"formula": "TmGa2Hg", "functional": "PBE-GGA", "state": "optimized geometry", "lattice": [[4.408, 0.000, 0.000], [0.000, 4.408, 0.000], [0.000, 0.000, 4.230]], "species": ["Tm", "Ga", "Ga", "Hg"], "frac_coords": [[0.000, 0.000, 0.000], [0.000, 0.500, 0.500], [0.500, 0.000, 0.500], [0.500, 0.500, 0.000]], "m_tot_mub_per_atom": 0.000}


Stability summary: most stable model 2, least stable model 1.